The following is a DFT calculation (PBE-GGA) of an optimized crystal structure of KI3Cl9.

## Properties
Electronic total energy in eV per atom: -2.136
Formation energy from raw total energies in eV/atom: -0.42
M_tot in Bohr magnetons per cell: 1.98
Density in g/cm3: 2.16

Unit cell a=9.7531 b=12.9271 c=12.6882 alpha=51.66 beta=67.40 gamma=67.84
With the nearest neighbours (Å) after each atom.
Atoms (fractional coordinates):
K  0.8444  0.3981  0.0766  5 Cl 3.16-3.25
K  0.6809  0.8981  0.5766  5 Cl 3.16-3.25
I  0.9677  0.4603  0.6550  1 Cl 2.39
I  0.9171  0.9603  0.1550  1 Cl 2.39
I  0.1319  0.9254  0.6727  3 Cl 2.40-2.53
I  0.2700  0.4254  0.1727  3 Cl 2.40-2.53
I  0.3950  0.2912  0.8751  3 Cl 2.41-2.69
I  0.4387  0.7912  0.3751  3 Cl 2.41-2.69
Cl  0.5274  0.3021  0.2307  1 I 2.52
Cl  0.9397  0.8021  0.7307  1 I 2.52
Cl  0.2701  0.2416  0.1285  2 I 2.69-2.76
Cl  0.3597  0.7416  0.6285  2 I 2.69-2.76
Cl  0.3312  0.0413  0.6190  1 I 2.53
Cl  0.0084  0.5413  0.1190  1 I 2.53
Cl  0.5385  0.8294  0.1501  1 I 2.41
Cl  0.4820  0.3294  0.6501  1 I 2.41
Cl  0.6393  0.9232  0.3264  2 I 2.72-2.73
Cl  0.1112  0.4231  0.8264  2 I 2.72-2.73
Cl  0.7250  0.5765  0.7928  1 I 2.88, 1 K 3.22
Cl  0.9058  0.0765  0.2928  1 I 2.88, 1 K 3.22
Cl  0.2410  0.6866  0.4300  1 I 2.41
Cl  0.6424  0.1866  0.9300  1 I 2.41
Cl  0.8383  0.4992  0.5040  1 I 2.39
Cl  0.1584  0.9993  0.0040  1 I 2.39
Cl  0.9359  0.0826  0.7169  1 I 2.40
Cl  0.2646  0.5826  0.2169  1 I 2.40